## NbTlPdSe3 (PBE-GGA)

Data for a geometry-optimized NbTlPdSe3 structure.

a = 8.197 Å, b = 3.698 Å, c = 10.192 Å
α = 90.00°, β = 113.02°, γ = 90.00°
Space group P2_1/m (No. 11)
One atom of each set of equivalent atoms:
Nb 0.212 0.250 0.173 x2
Tl 0.223 0.750 0.706 x2
Pd 0.430 0.750 0.380 x2
Se 0.049 0.250 0.882 x2
Se 0.237 0.250 0.430 x2
Se 0.410 0.750 0.128 x2

energy: -63.50 eV/cell



## NbSiPd (PBE-GGA)

Data for a geometry-optimized NbSiPd structure.

a = 6.2338 Å, b = 6.2338 Å, c = 4.2164 Å
α = 90.00°, β = 90.00°, γ = 120.00°
Space group P-62m (No. 189)
One atom of each set of equivalent atoms:
Nb 0.0000 0.5422 0.0000 x3
Si 0.0000 0.2496 0.5000 x3
Pd 0.0000 0.0000 0.0000 x1
Pd 0.3333 0.6667 0.5000 x2

energy: -64.61 eV/cell



## Nb2SiPd (PBE-GGA)

Data for a geometry-optimized Nb2SiPd structure.

a = 6.372 Å, b = 6.372 Å, c = 6.372 Å
α = 90.00°, β = 90.00°, γ = 90.00°
Space group F-43m (No. 216)
One atom of each set of equivalent atoms:
Nb 0.000 0.000 0.000 x4
Nb 0.250 0.250 0.250 x4
Si 0.000 0.000 0.500 x4
Pd 0.250 0.250 0.750 x4

energy: -123.83 eV/cell



## NbSiPd (PBE-GGA)

Data for a geometry-optimized NbSiPd structure.

a = 6.464 Å, b = 3.785 Å, c = 7.477 Å
α = 90.00°, β = 90.00°, γ = 90.00°
Space group Pnma (No. 62)
One atom of each set of equivalent atoms:
Nb 0.028 0.250 0.165 x4
Si 0.233 0.750 0.370 x4
Pd 0.148 0.250 0.563 x4

energy: -91.06 eV/cell



## NbSiPd (PBE-GGA)

Data for a geometry-optimized NbSiPd structure.

a = 4.789 Å, b = 4.100 Å, c = 9.659 Å
α = 90.00°, β = 90.00°, γ = 90.00°
Space group Pnma (No. 62)
One atom of each set of equivalent atoms:
Nb 0.218 0.250 0.174 x4
Si 0.162 0.250 0.852 x4
Pd 0.201 0.250 0.486 x4

energy: -86.83 eV/cell



## NbSiPd (PBE-GGA)

Data for a geometry-optimized NbSiPd structure.

a = 6.4416 Å, b = 6.4416 Å, c = 3.8311 Å
α = 90.00°, β = 90.00°, γ = 120.00°
Space group P-62m (No. 189)
One atom of each set of equivalent atoms:
Nb 0.0000 0.5859 0.0000 x3
Si 0.0000 0.0000 0.0000 x1
Si 0.3333 0.6667 0.5000 x2
Pd 0.0000 0.2552 0.5000 x3

energy: -67.76 eV/cell



## NbSiPd2 (PBE-GGA)

Data for a geometry-optimized NbSiPd2 structure.

a = 6.240 Å, b = 6.240 Å, c = 6.240 Å
α = 90.00°, β = 90.00°, γ = 90.00°
Space group F-43m (No. 216)
One atom of each set of equivalent atoms:
Nb 0.000 0.000 0.000 x4
Si 0.250 0.250 0.250 x4
Pd 0.000 0.000 0.500 x4
Pd 0.250 0.250 0.750 x4

energy: -109.53 eV/cell



## Nb2Si2Pd (PBE-GGA)

Data for a geometry-optimized Nb2Si2Pd structure.

a = 4.898 Å, b = 13.551 Å, c = 5.093 Å
α = 90.00°, β = 90.00°, γ = 90.00°
Space group Ibam (No. 72)
One atom of each set of equivalent atoms:
Nb 0.246 0.185 0.000 x8
Si 0.231 0.382 0.000 x8
Pd 0.000 0.000 0.250 x4

energy: -153.66 eV/cell



## NbSiPd (PBE-GGA)

Data for a geometry-optimized NbSiPd structure.

a = 4.2781 Å, b = 4.2781 Å, c = 5.8313 Å
α = 90.00°, β = 90.00°, γ = 120.00°
Space group P6_3/mmc (No. 194)
One atom of each set of equivalent atoms:
Nb 0.0000 0.0000 0.0000 x2
Si 0.3333 0.6667 0.2500 x2
Pd 0.3333 0.6667 0.7500 x2

energy: -44.24 eV/cell



## NbSiPd (PBE-GGA)

Data for a geometry-optimized NbSiPd structure.

a = 4.5372 Å, b = 4.5372 Å, c = 5.2163 Å
α = 90.00°, β = 90.00°, γ = 120.00°
Space group P6_3/mmc (No. 194)
One atom of each set of equivalent atoms:
Nb 0.3333 0.6667 0.2500 x2
Si 0.3333 0.6667 0.7500 x2
Pd 0.0000 0.0000 0.0000 x2

energy: -43.44 eV/cell



## NbSiPd (PBE-GGA)

Data for a geometry-optimized NbSiPd structure.

a = 4.2500 Å, b = 4.2500 Å, c = 5.9393 Å
α = 90.00°, β = 90.00°, γ = 120.00°
Space group P6_3mc (No. 186)
One atom of each set of equivalent atoms:
Nb 0.0000 0.0000 0.0000 x2
Si 0.3333 0.6667 0.2263 x2
Pd 0.3333 0.6667 0.7820 x2

energy: -44.28 eV/cell



## NbSiPd (PBE-GGA)

Data for a geometry-optimized NbSiPd structure.

a = 7.0413 Å, b = 7.0413 Å, c = 3.2987 Å
α = 90.00°, β = 90.00°, γ = 120.00°
Space group P-62m (No. 189)
One atom of each set of equivalent atoms:
Nb 0.0000 0.2713 0.0000 x3
Si 0.0000 0.0000 0.5000 x1
Si 0.3333 0.6667 0.0000 x2
Pd 0.0000 0.6156 0.5000 x3

energy: -65.00 eV/cell